Record 1
A relaxed structure of Fe2Os2Rh15, computed with PBE. Values from VASP.

The structure in Quantum ESPRESSO input format:
```
&SYSTEM
  ibrav = 0, nat = 19, ntyp = 3
/
ATOMIC_SPECIES
Fe 55.84 Fe.upf
Os 190.23 Os.upf
Rh 102.91 Rh.upf
ATOMIC_POSITIONS angstrom
Fe -2.580 -2.234 -1.799
Os -8.208 -7.105 -5.724
Rh -2.578 0.753 -2.043
Rh -1.278 -2.728 -4.391
Rh -1.080 -4.735 -2.184
Rh -4.957 -0.502 -1.879
Rh -5.267 -4.761 -0.878
Os -0.786 -0.680 -0.548
Rh -2.288 -2.180 1.182
Fe -6.413 -5.552 -4.472
Rh -3.726 -3.025 -5.394
Rh -4.774 -2.354 0.157
Rh -3.139 -0.696 -4.245
Rh -5.559 -1.809 -4.124
Rh -6.400 -2.738 -1.915
Rh 0.369 -2.465 -2.275
Rh -2.593 -5.047 -4.357
Rh -3.434 -5.976 -2.148
Rh -2.758 -4.556 -0.001
CELL_PARAMETERS angstrom
-5.156 1.505 -4.087
0.738 -4.930 -4.549
-4.576 -4.361 2.364
```

Computed properties:
Space group: R-3m
V, A^3/atom: 15.60
Magnetic moment, μB/cell: 7.5
Total DFT energy (no corrections), eV/atom: -7.4711


Record 2
A relaxed structure of RbTb2N, computed with PBE. Values from VASP.

The structure in Quantum ESPRESSO input format:
```
&SYSTEM
  ibrav = 0, nat = 4, ntyp = 3
/
ATOMIC_SPECIES
Tb 158.93 Tb.upf
Rb 85.47 Rb.upf
N 14.01 N.upf
ATOMIC_POSITIONS angstrom
Tb -4.937 1.263 -5.264
Rb 0.000 0.000 0.000
N -4.947 2.864 -3.408
Tb -4.956 4.464 -1.552
CELL_PARAMETERS angstrom
-0.046 0.141 -3.579
-2.424 -1.893 -1.836
-7.423 7.478 -1.402
```

Computed properties:
Space group: R-3m
V, A^3/atom: 28.96
Formation energy without anion corrections, eV per atom: -0.50
Magnetic moment, μB/cell: 1.2
Total DFT energy (no corrections), eV/atom: -5.1375


Record 3
A relaxed structure of KCu, computed with PBE. Values from VASP.

The structure in Quantum ESPRESSO input format:
```
&SYSTEM
  ibrav = 0, nat = 16, ntyp = 2
/
ATOMIC_SPECIES
K 39.10 K.upf
Cu 63.55 Cu.upf
ATOMIC_POSITIONS angstrom
K 9.082 6.024 0.000
K 0.000 8.989 2.197
Cu 3.306 3.306 2.197
Cu 8.741 3.306 2.197
Cu 9.330 2.717 0.000
K 8.989 0.000 2.197
Cu 2.717 9.330 0.000
K 0.000 3.059 2.197
Cu 8.741 8.741 2.197
K 3.059 0.000 2.197
K 6.024 9.082 0.000
Cu 9.330 9.330 0.000
K 6.024 2.965 0.000
Cu 3.306 8.741 2.197
K 2.965 6.024 0.000
Cu 2.717 2.717 0.000
CELL_PARAMETERS angstrom
12.047 0.000 0.000
0.000 12.047 0.000
0.000 0.000 4.393
```

Computed properties:
Space group: I4/mmm
V, A^3/atom: 39.85
Magnetic moment, μB/cell: 0.0
Total DFT energy (no corrections), eV/atom: -2.2621


Record 4
A relaxed structure of Tb8Dy4Ho3, computed with PBE. Values from VASP.

The structure in Quantum ESPRESSO input format:
```
&SYSTEM
  ibrav = 0, nat = 15, ntyp = 3
/
ATOMIC_SPECIES
Tb 158.93 Tb.upf
Dy 162.50 Dy.upf
Ho 164.93 Ho.upf
ATOMIC_POSITIONS angstrom
Tb 3.270 4.804 3.034
Tb -0.182 1.930 2.952
Dy 0.000 0.000 0.000
Ho 2.507 2.227 4.672
Tb 5.195 2.523 6.391
Ho 0.566 4.428 1.124
Tb 5.862 2.289 2.843
Tb 1.744 -0.351 6.309
Tb 2.137 4.008 7.304
Dy 1.940 -2.201 3.547
Dy 3.481 3.003 0.240
Dy -2.915 1.425 0.884
Ho -0.974 -0.777 4.432
Tb 2.876 0.445 2.039
Tb 4.981 -0.685 4.733
CELL_PARAMETERS angstrom
-5.830 2.849 1.768
3.881 -4.403 7.095
6.962 6.007 0.480
```

Computed properties:
Space group: C2/m
V, A^3/atom: 32.77
Magnetic moment, μB/cell: 0.0
Total DFT energy (no corrections), eV/atom: -4.2154


Record 5
A relaxed structure of LiPd5Pt, computed with PBE. Values from VASP.

The structure in Quantum ESPRESSO input format:
```
&SYSTEM
  ibrav = 0, nat = 14, ntyp = 3
/
ATOMIC_SPECIES
Li 6.94 Li.upf
Pd 106.42 Pd.upf
Pt 195.08 Pt.upf
ATOMIC_POSITIONS angstrom
Li 8.393 4.419 5.668
Pd 6.784 6.654 5.668
Pd 4.356 5.242 5.384
Pd 6.491 2.904 2.410
Pd 8.893 8.508 5.953
Pd 11.017 8.137 7.530
Pd 9.240 6.447 4.272
Li 4.882 5.138 2.410
Pt 1.971 1.419 3.258
Pd 2.258 1.421 0.549
Pd 8.919 4.316 2.695
Pd 4.035 3.110 3.807
Pt 0.000 0.000 0.000
Pd 4.382 1.049 2.126
CELL_PARAMETERS angstrom
6.663 0.586 0.782
2.670 6.133 0.782
3.942 2.838 6.515
```

Computed properties:
Space group: Imma
V, A^3/atom: 16.44
Magnetic moment, μB/cell: 0.0
Total DFT energy (no corrections), eV/atom: -4.8592


Record 6
A relaxed structure of Y3TmSc8, computed with PBE. Values from VASP.

The structure in Quantum ESPRESSO input format:
```
&SYSTEM
  ibrav = 0, nat = 12, ntyp = 3
/
ATOMIC_SPECIES
Sc 44.96 Sc.upf
Y 88.91 Y.upf
Tm 168.93 Tm.upf
ATOMIC_POSITIONS angstrom
Sc -5.005 2.042 6.022
Y 0.634 -0.417 4.862
Tm 0.000 0.000 0.000
Sc -3.424 -0.330 5.206
Sc 2.320 0.871 1.385
Y 0.634 4.563 1.729
Sc -0.457 1.552 2.466
Sc -0.815 3.119 4.958
Y -3.305 2.175 3.457
Sc -5.005 4.544 4.448
Sc 5.125 0.358 0.569
Sc -3.424 4.836 1.956
CELL_PARAMETERS angstrom
7.879 -0.204 -0.324
-3.305 7.155 0.324
-3.305 -2.806 6.590
```

Computed properties:
Space group: I-42m
V, A^3/atom: 30.32
Magnetic moment, μB/cell: 0.0
Total DFT energy (no corrections), eV/atom: -5.5217


Number 5 is which compound? LiPd5Pt


Which value of V does entry 5 give? 16.44 A^3/atom


total DFT energy (no corrections) of number 2 (RbTb2N)? -5.1375 eV/atom


Which of these has the highest V? KCu